Density functional theory data (GGA-PBE) for a geometry-optimized FeCoAsW structure.

CIF file:
```
data_FeCoAsW
_cell_length_a 5.9539
_cell_length_b 5.9539
_cell_length_c 5.9539
_cell_angle_alpha 90.00
_cell_angle_beta 90.00
_cell_angle_gamma 90.00
_space_group_name_H-M_alt 'F -4 3 m'
_space_group_IT_number 216
_space_group_name_Hall 'F -4 2 3'
loop_
_atom_site_label
_atom_site_fract_x
_atom_site_fract_y
_atom_site_fract_z
Fe1 0.0000 0.0000 0.0000
Co1 0.2500 0.2500 0.7500
As1 0.0000 0.0000 0.5000
W1 0.2500 0.2500 0.2500
```

Uncorrected energy = -32.1 eV per formula unit
Polymorph energy (0 for the lowest one) = 0 meV per atom